## CoPtN2O (GGA+U)

Data for a relaxed CoPtN2O crystal.

Calculated values
Total DFT energy (no corrections), eV per cell: -25.966
Size of the total moment, μB per atom: 0.337

a b c (Å): 3.644 3.644 3.794
angles (deg): 90.00 90.00 90.00
Fractional coordinates of all 5 atoms:
Co 0.000 0.000 0.000
O 0.000 0.000 0.500
Pt 0.500 0.500 0.500
N 0.000 0.500 0.000
N 0.500 0.000 0.000